{
  "formula": "KTlSbBr6",
  "functional": "PBE",
  "state": "optimized geometry",
  "formation_energy_uncorrected_mev_per_atom": -830,
  "lattice_angstrom": [[3.9122, -6.7839, 0.0000], [3.9122, 6.7839, 0.0000], [-0.0027, 0.0000, 6.8250]],
  "species": ["K", "Tl", "Sb", "Br", "Br", "Br", "Br", "Br", "Br"],
  "frac_coords": [[0.0000, 0.0000, 0.0000], [0.3335, 0.6665, 0.5000], [0.6669, 0.3331, 0.0000], [0.3869, 0.0452, 0.7667], [0.3875, 0.3412, 0.2336], [0.6589, 0.0457, 0.2336], [0.6588, 0.6125, 0.7664], [0.9543, 0.3411, 0.7664], [0.9548, 0.6131, 0.2333]]
}